1.
YHgIrRh2: optimized geometry, GGA-PBE.

abc: 4.801 4.801 5.067
angles: 90.00 90.00 90.00
Atoms (fractional coordinates):
Y (0.000, 0.000, 0.000)
Hg (0.500, 0.500, 0.000)
Ir (0.500, 0.500, 0.500)
Rh (0.000, 0.500, 0.500)
Rh (0.500, 0.000, 0.500)

space-group type	No. 123


2.
Hg3IrRu: optimized geometry, GGA-PBE.

abc: 5.180 5.180 5.180
angles: 90.00 90.00 90.00
Atoms (fractional coordinates):
Hg (0.000, 0.000, 0.500)
Hg (0.000, 0.500, 0.000)
Hg (0.500, 0.000, 0.000)
Ir (0.000, 0.000, 0.000)
Ru (0.500, 0.500, 0.500)

space-group type	No. 221


3.
Hg4IrRu: optimized geometry, GGA-PBE.

abc: 5.550 5.550 5.550
angles: 60.00 60.00 60.00
Atoms (fractional coordinates):
Hg (0.125, 0.125, 0.125)
Hg (0.125, 0.125, 0.625)
Hg (0.125, 0.625, 0.125)
Hg (0.625, 0.125, 0.125)
Ir (0.750, 0.750, 0.750)
Ru (0.500, 0.500, 0.500)

space-group type	No. 216


4.
TiHgIrRu: optimized geometry, GGA-PBE.

abc: 2.895 3.961 5.669
angles: 90.00 90.00 90.00
Atoms (fractional coordinates):
Ti (0.000, 0.000, 0.000)
Hg (0.500, 0.500, 0.301)
Ir (0.500, 0.500, 0.803)
Ru (0.000, 0.000, 0.568)

space-group type	No. 25


5.
TiHgIrRu: optimized geometry, GGA-PBE.

abc: 4.828 4.828 4.978
angles: 103.64 103.64 35.40
Atoms (fractional coordinates):
Ti (0.000, 0.000, 0.000)
Hg (0.493, 0.493, 0.496)
Ir (0.264, 0.264, 0.785)
Ru (0.723, 0.723, 0.217)

space-group type	No. 8


6.
TiHgIrRu: optimized geometry, GGA-PBE.

abc: 4.942 4.942 4.770
angles: 101.06 101.06 35.15
Atoms (fractional coordinates):
Ti (0.000, 0.000, 0.000)
Hg (0.762, 0.762, 0.298)
Ir (0.255, 0.255, 0.791)
Ru (0.518, 0.518, 0.590)

space-group type	No. 8


7.
TiHgIrRu: optimized geometry, GGA-PBE.

abc: 3.749 4.103 4.115
angles: 90.00 90.00 90.00
Atoms (fractional coordinates):
Ti (0.000, 0.000, 0.000)
Hg (0.000, 0.500, 0.500)
Ir (0.500, 0.000, 0.500)
Ru (0.500, 0.500, 0.000)

space-group type	No. 47


8.
TiHgIrRu: optimized geometry, GGA-PBE.

abc: 3.896 3.896 5.014
angles: 112.84 112.84 90.01
Atoms (fractional coordinates):
Ti (0.000, 0.000, 0.000)
Hg (0.250, 0.750, 0.500)
Ir (0.750, 0.250, 0.500)
Ru (0.502, 0.498, 0.000)

space-group type	No. 5


ΔH_f (0 K) (computed, eV/atom): 0.550, 1.279, 1.051, -0.075, -0.085, 0.008, -0.113, -0.037